Computed, not measured: crystalline PrZrZn4 at its relaxed geometry at the GGA-PBE level of DFT.

Values from the calculation:
Energy of formation from the pure elements ... -0.317 eV per atom
SG ... P6/mmm (191)
Energy above the lowest structure with this stoichiometry ... 0.00 eV/f.u.
N(E_F) ... 1.127 states/eV/atom

Cell: 4.393 4.393 7.217 Å, 89.98 90.00 120.00°
Fractional positions:
Zr 0.004 0.499 0.998
Pr 0.004 0.499 0.498
Zn 0.337 0.166 0.202
Zn 0.671 0.833 0.202
Zn 0.671 0.833 0.795
Zn 0.337 0.166 0.795